Record 1
ZrTe2: relaxed, PBE-GGA.

Its final energy is -5.24 eV per atom. The space-group type is No. 164. Its energy relative to the elements, uncorrected is -29.0 kJ per mole of atoms.

Cell: 5.1431 5.1431 3.3986 Å, 90.00 90.00 120.00°
With the nearest neighbours (Å) after each atom.
Fractional positions:
1 Zr 0.0000 0.0000 0.0000  6 Te 3.07, 2 Zr 3.40
2 Te 0.3333 0.6667 0.7671  3 Zr 3.07, 5 Te 3.37-3.40
3 Te 0.6667 0.3333 0.2329  3 Zr 3.07, 5 Te 3.37-3.40



Record 2
CuOs2Ru: relaxed, PBE-GGA.

Its formation energy is 0.46 eV/atom. Its final energy is -8.50 eV per atom. The space-group type is No. 44.

Cell: 5.1058 5.1058 5.1058 Å, 147.48 129.08 61.73°
With the nearest neighbours (Å) after each atom.
Fractional positions:
1 Cu 0.0000 0.0000 0.0000  2 Ru 2.52, 6 Os 2.53-2.62
2 Os 0.5040 0.5040 0.0000  4 Cu 2.62, 4 Os 2.68-2.86, 2 Ru 2.74
3 Os 0.7624 0.2624 0.5000  2 Cu 2.53, 4 Ru 2.63, 2 Os 2.68
4 Ru 0.2373 0.7373 0.5000  2 Cu 2.52, 6 Os 2.63-2.74



Record 3
Sr4ZnSi: relaxed, PBE-GGA.

Its final energy is -1.56 eV per atom. The space-group type is No. 216. Its energy relative to the elements, uncorrected is 65.0 kJ per mole of atoms.

Cell: 6.9865 6.9865 6.9865 Å, 60.00 60.00 60.00°
With the nearest neighbours (Å) after each atom.
Fractional positions:
1 Sr 0.3759 0.3759 0.3759  6 Sr 3.47-3.52
2 Sr 0.3759 0.3759 0.8723  6 Sr 3.47-3.52
3 Sr 0.3759 0.8723 0.3759  6 Sr 3.47-3.52
4 Sr 0.8723 0.3759 0.3759  6 Sr 3.47-3.52
5 Zn 0.0000 0.0000 0.0000  12 Sr 4.10, 4 Si 4.28
6 Si 0.7500 0.7500 0.7500  12 Sr 4.09, 4 Zn 4.28



Record 4
LaSmGe2Pt5: relaxed, PBE-GGA.

Its formation energy is -0.89 eV/atom. Its final energy is -6.34 eV per atom. The space-group type is No. 123.

Cell: 4.3683 4.3683 9.0471 Å, 90.00 90.00 90.00°
With the nearest neighbours (Å) after each atom.
Fractional positions:
1 La 0.0000 0.0000 0.0000  12 Pt 3.03-3.09
2 Sm 0.0000 0.0000 0.5000  8 Pt 3.26, 8 Ge 3.33
3 Ge 0.5000 0.5000 0.3632  1 Ge 2.48, 4 Pt 2.48
4 Ge 0.5000 0.5000 0.6368  1 Ge 2.48, 4 Pt 2.48
5 Pt 0.0000 0.5000 0.2325  2 Ge 2.48
6 Pt 0.0000 0.5000 0.7675  2 Ge 2.48
7 Pt 0.5000 0.0000 0.2325  2 Ge 2.48
8 Pt 0.5000 0.0000 0.7675  2 Ge 2.48
9 Pt 0.5000 0.5000 0.0000  8 Pt 3.03, 4 La 3.09, 2 Ge 3.29



Record 5
La4SbOs: relaxed, PBE-GGA.

Its final energy is -5.30 eV per atom. The space-group type is No. 216. Its energy relative to the elements, uncorrected is 52.8 kJ per mole of atoms.

Cell: 6.2223 6.2223 6.2223 Å, 60.00 60.00 60.00°
With the nearest neighbours (Å) after each atom.
Fractional positions:
1 La 0.1244 0.1244 0.1244  6 La 3.10-3.13
2 La 0.1244 0.1244 0.6269  6 La 3.10-3.13
3 La 0.1244 0.6269 0.1244  6 La 3.10-3.13
4 La 0.6269 0.1244 0.1244  6 La 3.10-3.13
5 Sb 0.5000 0.5000 0.5000  12 La 3.65, 4 Os 3.81
6 Os 0.7500 0.7500 0.7500  12 La 3.65, 4 Sb 3.81



Q: Look up the final energy of the third one.
A: -1.56 eV per atom



Q: Among the records above, which one has the lowest final energy?
A: CuOs2Ru